Entry from OQMD via LeMat-Bulk: a relaxed structure of La4Co3O10 (PBE+U).

Cell: 3.805 3.805 14.368 Å, 97.60 97.60 90.08°
Fractional positions:
Co: 0.000 0.000 0.000
Co: 0.139 0.139 0.279
Co: 0.861 0.861 0.721
La: 0.566 0.566 0.132
La: 0.700 0.700 0.399
La: 0.300 0.300 0.601
La: 0.434 0.434 0.868
O: 0.500 0.000 0.000
O: 0.000 0.500 0.000
O: 0.067 0.067 0.134
O: 0.640 0.140 0.280
O: 0.140 0.640 0.280
O: 0.218 0.218 0.436
O: 0.782 0.782 0.564
O: 0.860 0.360 0.720
O: 0.360 0.860 0.720
O: 0.933 0.933 0.866

E, eV per atom: -7.37